Record 1
A relaxed CsZn2B3O7 crystal. Source: the Alexandria database, functional GGA-PBE.

POSCAR file:
```
CsZn2B3O7
1.0
-1.8865 -7.6159 -3.5018
4.4028 -0.6985 9.6879
-13.3891 0.5021 6.1211
Cs Zn B O
6 12 18 42
Cartesian
-10.9003 -4.3679 4.8310 Cs
-1.2784 -3.3954 8.0732 Cs
-2.2784 -4.7206 0.9533 Cs
-6.0922 -3.1855 10.2100 Cs
-3.0541 0.0897 1.4502 Cs
-7.2716 -7.9225 10.6068 Cs
-11.5163 0.1965 9.6954 Zn
-12.2176 -2.6347 8.3936 Zn
-5.6376 -7.7732 5.4834 Zn
-4.9363 -4.9420 6.7852 Zn
-10.3274 -7.4628 7.2254 Zn
-9.6065 -4.5525 8.5636 Zn
-2.5217 -0.2753 5.9852 Zn
-3.2426 -3.1856 4.6471 Zn
-0.4988 -4.9437 4.4675 Zn
-1.2125 -7.8249 3.1427 Zn
-7.5720 -2.9736 6.5588 Zn
-6.8583 -0.0925 7.8835 Zn
-12.3772 -5.5844 8.2724 B
-4.7661 -1.9927 6.9015 B
-14.2649 -5.4254 3.9150 B
-13.3649 -1.7922 5.5855 B
-2.7158 -2.1578 11.1846 B
-3.6157 -5.7910 9.5140 B
1.6026 -5.6910 6.2356 B
2.5473 -1.8774 7.9891 B
-7.4905 -2.3081 3.7927 B
-8.4351 -6.1217 2.0392 B
-7.7525 -5.9580 6.5935 B
-0.4579 -1.9541 4.4966 B
-9.5598 -5.2259 11.3155 B
-8.6291 -1.4687 13.0431 B
-5.2492 -2.4387 2.7912 B
-6.1799 -6.1960 1.0636 B
-3.2476 -6.1330 4.5472 B
-9.3517 -1.6145 8.5493 B
0.2816 -5.4604 6.1666 O
1.2762 -1.4451 8.0128 O
-8.3144 -2.4583 4.8423 O
-9.3090 -6.4736 2.9961 O
2.1508 -6.3031 7.3850 O
3.0752 -2.5716 9.1008 O
-7.9632 -1.6989 2.6088 O
-8.8875 -5.4304 0.8930 O
-13.7432 -5.9215 5.0280 O
-12.8996 -2.5159 6.5939 O
-3.1855 -1.6636 10.0478 O
-4.0291 -5.0692 8.4819 O
-2.0027 -6.1589 3.9329 O
-8.0739 -1.6832 8.0103 O
-3.5821 -5.0398 5.3287 O
-4.1152 -7.1920 4.3391 O
-10.2279 -2.6623 8.3214 O
-9.6948 -0.5101 9.3110 O
0.0885 -7.0691 1.8562 O
0.6129 -4.9524 2.8295 O
-5.0846 -0.9635 7.7643 O
-5.6089 -3.0802 6.7911 O
-11.0640 -5.7106 7.8394 O
-3.5746 -1.9604 6.1894 O
-9.0448 -5.8305 12.4829 O
-8.1374 -2.1672 14.1673 O
-5.7576 -1.8344 1.6208 O
-6.6651 -5.4977 -0.0635 O
-8.6870 -6.9043 6.2028 O
-8.1587 -4.7713 7.1835 O
-0.7137 -0.9632 5.4315 O
-1.2421 -3.0962 4.4507 O
-6.4008 -6.1977 6.3866 O
0.5950 -1.8046 3.6041 O
-10.9130 -4.8745 11.3119 O
-9.9880 -1.1402 13.0290 O
-6.1510 -2.7056 3.8257 O
-7.0760 -6.4399 2.1087 O
-8.7688 -5.0402 10.2474 O
-7.7955 -1.1109 12.0540 O
-3.9379 -2.7033 2.8983 O
-4.9112 -6.6326 1.0916 O
```

Total DFT energy (no corrections) ... -6.60 eV/atom
Size of the total moment ... 0.0 μB/cell
Raw formation energy ... -27.635 eV/f.u.



Record 2
A relaxed CsZrB2O6 crystal. Source: the Alexandria database, functional GGA-PBE.

POSCAR file:
```
CsZrB2O6
1.0
6.5991 0.1229 0.0017
-0.6859 6.5645 0.0017
-1.7350 -1.9622 7.6696
Cs Zr B O
2 2 4 12
Cartesian
-0.2566 5.3108 1.9191 Cs
4.4348 -0.5856 5.7539 Cs
3.7733 1.7475 1.9191 Zr
0.4049 2.9777 5.7539 Zr
1.1234 -0.2803 6.3853 B
3.7264 2.6635 5.1224 B
3.0548 5.0056 1.2876 B
0.4518 2.0617 2.5505 B
5.8908 1.8582 1.8949 O
3.9227 -0.3676 1.9433 O
-1.7126 2.8671 5.7781 O
0.2555 5.0929 5.7297 O
1.6668 1.6160 2.1013 O
3.6459 3.8543 1.7368 O
2.5114 3.1092 5.5716 O
0.5323 0.8710 5.9361 O
0.3933 2.8611 3.6664 O
2.2543 4.9657 0.1717 O
3.7849 1.8642 4.0065 O
1.9239 -0.2404 7.5012 O
```

Total DFT energy (no corrections) ... -7.72 eV/atom
Size of the total moment ... 2.0 μB/cell
Raw formation energy ... -24.645 eV/f.u.



Record 3
A relaxed Cs2ZrBO crystal. Source: the Alexandria database, functional GGA-PBE.

POSCAR file:
```
Cs2ZrBO
1.0
6.4335 0.0000 0.0000
0.0000 4.1348 0.0000
0.0000 0.0000 6.4335
Cs B O Zr
2 1 1 1
Cartesian
0.0000 0.0000 3.2168 Cs
3.2168 0.0000 0.0000 Cs
3.2168 2.0674 3.2168 B
0.0000 0.0000 0.0000 O
0.0000 2.0674 0.0000 Zr
```

Total DFT energy (no corrections) ... -4.07 eV/atom
Size of the total moment ... 0.3 μB/cell
Raw formation energy ... 1.550 eV/f.u.



Record 4
A relaxed CsB3Os crystal. Source: the Alexandria database, functional GGA-PBE.

POSCAR file:
```
CsB3Os
1.0
4.3369 0.0000 0.0000
0.0000 4.3369 0.0000
0.0000 0.0000 4.3369
Cs B Os
1 3 1
Cartesian
0.0000 0.0000 0.0000 Cs
0.0000 2.1684 0.0000 B
0.0000 0.0000 2.1684 B
2.1684 0.0000 0.0000 B
2.1684 2.1684 2.1684 Os
```

Total DFT energy (no corrections) ... -2.30 eV/atom
Size of the total moment ... 0.0 μB/cell
Energy of formation ... 4119 meV per atom
Energy above the lowest structure with this stoichiometry ... 322.2 kJ per mole of atoms



Record 5
A relaxed Cs2BOs crystal. Source: the Alexandria database, functional GGA-PBE.

POSCAR file:
```
Cs2BOs
1.0
0.0000 4.1286 4.1286
4.1286 0.0000 4.1286
4.1286 4.1286 0.0000
Cs B Os
2 1 1
Cartesian
2.0643 2.0643 2.0643 Cs
6.1928 6.1928 6.1928 Cs
0.0000 0.0000 0.0000 B
4.1286 4.1286 4.1286 Os
```

Total DFT energy (no corrections) ... -2.52 eV/atom
Size of the total moment ... 1.0 μB/cell
Energy of formation ... 2382 meV per atom



Record 6
A relaxed CsB3Os crystal. Source: the Alexandria database, functional GGA-PBE.

POSCAR file:
```
CsB3Os
1.0
4.3377 0.0000 0.0000
0.0000 4.3377 0.0000
0.0000 0.0000 4.3377
Cs B Os
1 3 1
Cartesian
2.1688 2.1688 2.1688 Cs
0.0000 2.1688 0.0000 B
0.0000 0.0000 2.1688 B
2.1688 0.0000 0.0000 B
0.0000 0.0000 0.0000 Os
```

Total DFT energy (no corrections) ... -5.64 eV/atom
Size of the total moment ... 0.0 μB/cell
Energy of formation ... 780 meV per atom
Energy above the lowest structure with this stoichiometry ... 0.0 kJ per mole of atoms



Record 7
A relaxed CsB2OsSe crystal. Source: the Alexandria database, functional GGA-PBE.

POSCAR file:
```
CsB2OsSe
1.0
-3.7548 0.5791 -1.8253
-2.2535 -5.1243 3.0099
-1.1973 2.4253 3.2326
Cs B Os Se
1 2 1 1
Cartesian
-1.1267 -2.5622 1.5050 Cs
-0.5987 1.2127 1.6163 B
-1.8774 0.2896 -0.9126 B
0.0000 0.0000 0.0000 Os
-3.6028 -1.0599 2.2086 Se
```

Total DFT energy (no corrections) ... -4.54 eV/atom
Size of the total moment ... 0.0 μB/cell
Raw formation energy ... 6.219 eV/f.u.



Record 8
A relaxed CsSnB2Os crystal. Source: the Alexandria database, functional GGA-PBE.

POSCAR file:
```
CsSnB2Os
1.0
4.6935 0.0000 0.0000
0.0000 5.2472 0.0000
0.0000 0.0000 4.6935
Cs B Os Sn
1 2 1 1
Cartesian
2.3467 2.6236 2.3467 Cs
0.0000 0.0000 2.3467 B
2.3467 0.0000 0.0000 B
0.0000 2.6236 0.0000 Os
0.0000 0.0000 0.0000 Sn
```

Total DFT energy (no corrections) ... -3.69 eV/atom
Size of the total moment ... 1.4 μB/cell
Energy of formation ... 2202 meV per atom



> Which formula does entry 2 have?

CsZrB2O6